Density functional theory data (GGA-PBE) for crystalline Tb3Pr3Dy at its relaxed geometry.

Unit cell a=8.7569 b=8.7569 c=8.9104 alpha=60.57 beta=60.57 gamma=60.00
Closest atoms and distances in Å follow each position.
Fractional coordinates of all 14 atoms:
Tb 0.5703 0.7252 0.6405  3 Pr 3.28-3.43, 2 Tb 3.66
Tb 0.7252 0.0640 0.6405  3 Pr 3.28-3.43, 2 Tb 3.66
Tb 0.0640 0.5703 0.6405  3 Pr 3.28-3.43, 2 Tb 3.66
Tb 0.9360 0.4297 0.3595  3 Pr 3.28-3.43, 2 Tb 3.66
Tb 0.2748 0.9360 0.3595  3 Pr 3.28-3.43, 2 Tb 3.66
Tb 0.4297 0.2748 0.3595  3 Pr 3.28-3.43, 2 Tb 3.66
Pr 0.1825 0.7030 0.1772  3 Tb 3.28-3.43, 4 Pr 3.34-3.64, 1 Dy 3.52
Pr 0.9373 0.1825 0.1772  3 Tb 3.28-3.43, 4 Pr 3.34-3.64, 1 Dy 3.52
Pr 0.7030 0.9373 0.1772  3 Tb 3.28-3.43, 4 Pr 3.34-3.64, 1 Dy 3.52
Pr 0.2970 0.0627 0.8228  3 Tb 3.28-3.43, 4 Pr 3.34-3.64, 1 Dy 3.52
Pr 0.0627 0.8175 0.8228  3 Tb 3.28-3.43, 4 Pr 3.34-3.64, 1 Dy 3.52
Pr 0.8175 0.2970 0.8228  3 Tb 3.28-3.43, 4 Pr 3.34-3.64, 1 Dy 3.52
Dy 0.3486 0.3486 0.9543  6 Pr 3.52-3.79, 6 Tb 3.70-3.80
Dy 0.6514 0.6514 0.0457  6 Pr 3.52-3.79, 6 Tb 3.70-3.80

Calculated values
Energy of formation = 0.247 eV/atom

Density functional theory data (GGA-PBE) for crystalline K4Mo at its relaxed geometry.

Unit cell a=7.4949 b=7.4949 c=7.4949 alpha=109.47 beta=109.47 gamma=109.47
Closest atoms and distances in Å follow each position.
Fractional coordinates of all 5 atoms:
K 0.0000 0.5000 0.0000  2 Mo 3.75
K 0.0000 0.0000 0.5000  2 Mo 3.75
K 0.5000 0.5000 0.5000  2 Mo 3.75
K 0.5000 0.0000 0.0000  2 Mo 3.75
Mo 0.0000 0.0000 0.0000  8 K 3.75

Calculated values
Energy of formation = 0.980 eV/atom
Energy above the most stable polymorph in this dataset = 49 meV/atom

Density functional theory data (GGA-PBE) for crystalline LiErCuF6 at its relaxed geometry.

Unit cell a=4.8735 b=4.8735 c=9.7610 alpha=90.00 beta=90.00 gamma=90.00
Closest atoms and distances in Å follow each position.
Fractional coordinates of all 18 atoms:
Li 0.5000 0.5000 0.5054  6 F 2.04-2.21
Li 0.0000 0.0000 0.0054  6 F 2.04-2.21
Er 0.5000 0.5000 0.1665  6 F 2.15-2.19
Er 0.0000 0.0000 0.6665  6 F 2.15-2.19
Cu 0.5000 0.5000 0.8335  6 F 2.00-2.10
Cu 0.0000 0.0000 0.3335  6 F 2.00-2.10
F 0.2012 0.7988 0.4954  1 Li 2.06, 1 Cu 2.10, 1 Er 2.17
F 0.7988 0.2012 0.4954  1 Li 2.06, 1 Cu 2.10, 1 Er 2.17
F 0.2988 0.2988 0.9954  1 Li 2.06, 1 Cu 2.10, 1 Er 2.17
F 0.7012 0.7012 0.9954  1 Li 2.06, 1 Cu 2.10, 1 Er 2.17
F 0.1881 0.8119 0.1674  1 Li 2.04, 1 Cu 2.08, 1 Er 2.15
F 0.8119 0.1881 0.1674  1 Li 2.04, 1 Cu 2.08, 1 Er 2.15
F 0.3119 0.3119 0.6674  1 Li 2.04, 1 Cu 2.08, 1 Er 2.15
F 0.6881 0.6881 0.6674  1 Li 2.04, 1 Cu 2.08, 1 Er 2.15
F 0.7901 0.2099 0.8345  1 Cu 2.00, 1 Er 2.19, 1 Li 2.21
F 0.2099 0.7901 0.8345  1 Cu 2.00, 1 Er 2.19, 1 Li 2.21
F 0.7099 0.7099 0.3345  1 Cu 2.00, 1 Er 2.19, 1 Li 2.21
F 0.2901 0.2901 0.3345  1 Cu 2.00, 1 Er 2.19, 1 Li 2.21

Calculated values
E_form (uncorrected) = -2950 meV per atom

Density functional theory data (GGA-PBE) for crystalline NdGdRu at its relaxed geometry.

Unit cell a=3.7259 b=4.7613 c=4.7613 alpha=120.00 beta=90.00 gamma=90.00
Closest atoms and distances in Å follow each position.
Fractional coordinates of all 3 atoms:
Ru 0.0199 0.0000 0.0000  3 Gd 2.90, 3 Nd 2.98
Gd 0.2680 0.3333 0.6667  3 Ru 2.90, 3 Nd 3.21
Nd 0.7121 0.6667 0.3333  3 Ru 2.98, 3 Gd 3.21

Calculated values
Energy of formation = -0.054 eV/atom
Energy above the most stable polymorph in this dataset = 162 meV/atom

no.,calculated total energy (eV/atom)
1,-4.44
2,-2.06
3,-5.37
4,-9.43